Entry 1:
DFT (PBE-GGA) results for an optimized crystal structure of Zn2SeO.

As for the energy above the lowest structure with this stoichiometry: 938 meV per atom. The total moment comes out at 0.097 μB per formula unit. Its total energy is -2.790 eV/atom. The value obtained for the uncorrected formation energy is -0.042 eV/atom.

The structure belongs to space group Fm-3m (No. 225); the cell edges are 6.1266, 6.1266 and 6.1266 Å and the angles 90.00°, 90.00° and 90.00°. The distinct sites, in fractional coordinates, are Zn at (0.2500, 0.2500, 0.2500), Se at (0.0000, 0.0000, 0.0000) and O at (0.0000, 0.0000, 0.5000).


Entry 2:
DFT (PBE-GGA) results for an optimized crystal structure of TlHg2Ir.

As for the energy above the lowest structure with this stoichiometry: 199 meV per atom. The total moment comes out at 0.000 μB per formula unit. Its total energy is -2.481 eV/atom. As for the formation energy: 0.477 eV per atom.

The structure belongs to space group I4/mmm (No. 139); the cell edges are 4.1619, 4.1619 and 9.4445 Å and the angles 90.00°, 90.00° and 90.00°. The distinct sites, in fractional coordinates, are Tl at (0.0000, 0.0000, 0.0000), Hg at (0.0000, 0.5000, 0.2500) and Ir at (0.0000, 0.0000, 0.5000).